# 1
# Hf2TcPt (PBE-GGA, relaxed)
# crystal system: tetragonal
# energy relative to the elements: -82.4 kJ/mol of atoms
# electronic total energy: -39.7 eV per formula unit
data_Hf2TcPt
_cell_length_a 3.337
_cell_length_b 3.337
_cell_length_c 6.394
_cell_angle_alpha 90.00
_cell_angle_beta 90.00
_cell_angle_gamma 90.00
_symmetry_space_group_name_H-M 'P 4/m m m'
_symmetry_Int_Tables_number 123
_symmetry_space_group_name_Hall '-P 4 2'
loop_
_atom_site_label
_atom_site_fract_x
_atom_site_fract_y
_atom_site_fract_z
Hf1 0.000 0.000 0.243
Tc1 0.500 0.500 0.000
Pt1 0.500 0.500 0.500

=====

# 2
# TbSiS4 (PBE-GGA, relaxed)
# raw formation energy: -98.1 kJ per mole of atoms
# crystal system: monoclinic
# electronic total energy: -32.7 eV per formula unit
data_TbSiS4
_cell_length_a 5.665
_cell_length_b 8.872
_cell_length_c 5.670
_cell_angle_alpha 90.00
_cell_angle_beta 100.54
_cell_angle_gamma 90.00
_symmetry_space_group_name_H-M 'P 1 21/m 1'
_symmetry_Int_Tables_number 11
loop_
_symmetry_equiv_pos_as_xyz
'x,y,z'
'-x,-y,-z'
'-x,y+1/2,-z'
'x,-y+1/2,z'
loop_
_atom_site_label
_atom_site_fract_x
_atom_site_fract_y
_atom_site_fract_z
Tb1 0.128 0.250 0.127
Si1 0.379 0.750 0.382
S1 0.191 0.566 0.193
S2 0.253 0.250 0.642
S3 0.356 0.750 0.749

=====

# 3
# Ac4C (PBE-GGA, relaxed)
# crystal system: cubic
# energy relative to the elements: 18.1 kJ/mol of atoms
# electronic total energy: -24.7 eV per formula unit
data_Ac4C
_cell_length_a 5.631
_cell_length_b 5.631
_cell_length_c 5.631
_cell_angle_alpha 90.00
_cell_angle_beta 90.00
_cell_angle_gamma 90.00
_symmetry_space_group_name_H-M 'P m -3 m'
_symmetry_Int_Tables_number 221
_symmetry_space_group_name_Hall '-P 4 2 3'
loop_
_atom_site_label
_atom_site_fract_x
_atom_site_fract_y
_atom_site_fract_z
Ac1 0.000 0.000 0.000
Ac2 0.000 0.500 0.500
C1 0.500 0.500 0.500